Computed, not measured: a geometry-optimized Nd3Y3Mg structure at the PBE level of DFT.

Cell: 6.2533 6.2533 42.5817 Å, 90.00 90.00 120.00°
Space group R-3 (No. 148, hexagonal axes)
Unique sites:
1 Nd 0.9998 0.3334 0.1295
2 Y 0.0001 0.3361 0.9383
3 Mg 0.0000 0.0000 0.3333

## Properties
ΔE to the lowest computed polymorph = 62.9 kJ/mol of formula units
Total moment = 0.00 μB/cell
D(E_F) = 1.490 states/eV per atom
Formation enthalpy at 0 K = 117 meV/atom